Record 1
BiTeCl: optimized geometry, GGA-PBE.

CIF file:
```
data_BiTeCl
_chemical_formula_sum 'Bi2 Te2 Cl2'
_symmetry_space_group_name_H-M 'P 1'
_symmetry_Int_Tables_number 1
_cell_length_a 4.309
_cell_length_b 4.309
_cell_length_c 15.266
_cell_angle_alpha 93.56
_cell_angle_beta 94.54
_cell_angle_gamma 119.99
loop_
_symmetry_equiv_pos_as_xyz
'x,y,z'
loop_
_atom_site_label
_atom_site_type_symbol
_atom_site_fract_x
_atom_site_fract_y
_atom_site_fract_z
_atom_site_occupancy
Te1 Te 0.915 0.820 0.735 1
Cl1 Cl 0.132 0.380 0.512 1
Te2 Te 0.082 0.956 0.038 1
Bi1 Bi 0.520 0.097 0.618 1
Bi2 Bi 0.809 0.346 0.155 1
Cl2 Cl 0.531 0.730 0.261 1
```

## Properties
Symmetry   Cm
Uncorrected energy   -10.6 eV per formula unit
Fermi-level density of states   0.000 states/eV per atom
M_tot   0.00 μB per formula unit


Record 2
Bi2Te2Cl: optimized geometry, GGA-PBE.

CIF file:
```
data_Bi2Te2Cl
_chemical_formula_sum 'Bi4 Te4 Cl2'
_symmetry_space_group_name_H-M 'P 1'
_symmetry_Int_Tables_number 1
_cell_length_a 8.403
_cell_length_b 8.403
_cell_length_c 4.290
_cell_angle_alpha 90.00
_cell_angle_beta 90.00
_cell_angle_gamma 90.00
loop_
_symmetry_equiv_pos_as_xyz
'x,y,z'
loop_
_atom_site_label
_atom_site_type_symbol
_atom_site_fract_x
_atom_site_fract_y
_atom_site_fract_z
_atom_site_occupancy
Cl1 Cl 0.000 0.000 0.000 1
Te1 Te 0.349 0.151 0.500 1
Cl2 Cl 0.500 0.500 0.000 1
Bi1 Bi 0.656 0.156 0.000 1
Te2 Te 0.151 0.651 0.500 1
Bi2 Bi 0.344 0.844 0.000 1
Te3 Te 0.849 0.349 0.500 1
Bi3 Bi 0.156 0.344 0.000 1
Te4 Te 0.651 0.849 0.500 1
Bi4 Bi 0.844 0.656 0.000 1
```

## Properties
Symmetry   P4/mbm
Uncorrected energy   -17.1 eV per formula unit
Fermi-level density of states   0.757 states/eV per atom
ΔE to the lowest computed polymorph   137.5 meV per atom
M_tot   0.00 μB per formula unit